No. 1
VASP calculation (PBE-GGA) on a geometry-optimized Ti2GaPd5 structure.

## Properties
The value obtained for the energy relative to the lowest polymorph listed for this composition is 0.000 eV/atom.

Unit cell a=5.5221 b=10.7788 c=4.1132 alpha=90.00 beta=90.00 gamma=90.00
Closest atoms and distances in Å follow each position.
Space group Pbam (No. 55)
One atom of each set of equivalent atoms:
1 Ti 0.1793 0.1387 0.0000 (multiplicity 4)  10 Pd 2.70-2.80
2 Ga 0.0000 0.5000 0.5000 (multiplicity 2)  8 Pd 2.57-2.76
3 Pd 0.0000 0.0000 0.5000 (multiplicity 2)  4 Ti 2.73, 2 Ga 2.76, 6 Pd 2.77-2.96
4 Pd 0.0826 0.7462 0.5000 (multiplicity 4)  1 Ga 2.69, 4 Ti 2.70-2.80, 7 Pd 2.76-2.92
5 Pd 0.1801 0.3907 0.0000 (multiplicity 4)  2 Ga 2.57, 4 Ti 2.72-2.78



No. 2
VASP calculation (PBE-GGA) on a geometry-optimized Ta3Cu2Ni8 structure.

Unit cell a=4.6600 b=4.6600 c=27.3441 alpha=90.00 beta=90.00 gamma=120.00
Closest atoms and distances in Å follow each position.
Space group R-3m (No. 166, hexagonal axes)
One atom of each set of equivalent atoms:
1 Ta 0.0000 0.0000 0.0000 (multiplicity 3)  6 Cu 2.80, 12 Ni 3.08-3.09
2 Ta 0.0000 0.0000 0.1877 (multiplicity 6)  10 Ni 2.48-2.71
3 Cu 0.0000 0.0000 0.3617 (multiplicity 6)  4 Ni 2.28-2.42
4 Ni 0.0000 0.0000 0.2782 (multiplicity 6)  1 Cu 2.28, 1 Ta 2.48
5 Ni 0.0009 0.5005 0.7683 (multiplicity 18)  4 Ni 2.32-2.34, 1 Cu 2.42



no.,energy of formation from the pure elements (eV per atom),magnetic moment (μB per formula unit)
1,-0.56,0.821
2,0.02,0.000